1.
# AgP2W

A geometry-optimized AgP2W structure (PBE, Alexandria). Values from VASP.

Summary:
The calculation puts the electronic total energy at -0.488 Ry per atom. Its polymorph energy (0 for the lowest one) is 0.0 meV/atom. Its formation enthalpy at 0 K is 0.023 eV per atom. Its density is 8928 kg/m3.

Structure (Quantum ESPRESSO input):
```
&SYSTEM
  ibrav = 0, nat = 4, ntyp = 3
/
ATOMIC_SPECIES
Ag 107.87 Ag.upf
P 30.97 P.upf
W 183.84 W.upf
CELL_PARAMETERS angstrom
8.101 0.010 0.006
7.504 3.052 0.006
7.504 1.473 2.674
ATOMIC_POSITIONS crystal
Ag 0.750 0.750 0.750
P 0.989 0.989 0.989
P 0.511 0.511 0.511
W 0.250 0.250 0.250
```

***

2.
# CaTl2Cd

A geometry-optimized CaTl2Cd structure (PBE, Alexandria). Values from VASP.

Summary:
The calculation puts the electronic total energy at -0.151 Ry per atom. Its polymorph energy (0 for the lowest one) is 95.8 meV/atom. Its formation enthalpy at 0 K is -0.146 eV per atom. Its density is 7938 kg/m3.

Structure (Quantum ESPRESSO input):
```
&SYSTEM
  ibrav = 0, nat = 4, ntyp = 3
/
ATOMIC_SPECIES
Tl 204.38 Tl.upf
Ca 40.08 Ca.upf
Cd 112.41 Cd.upf
CELL_PARAMETERS angstrom
5.885 -0.044 -0.135
-2.777 5.841 0.051
0.330 1.122 3.418
ATOMIC_POSITIONS crystal
Tl 0.000 0.000 0.000
Tl 0.500 0.000 0.500
Ca 0.000 0.500 0.500
Cd 0.500 0.500 0.000
```

***

3.
# PrDy2TmBi5

A geometry-optimized PrDy2TmBi5 structure (PBE, Alexandria). Values from VASP.

Summary:
The calculation puts the electronic total energy at -0.311 Ry per atom. Its formation enthalpy at 0 K is -0.031 eV per atom. Its density is 8037 kg/m3.

Structure (Quantum ESPRESSO input):
```
&SYSTEM
  ibrav = 0, nat = 9, ntyp = 4
/
ATOMIC_SPECIES
Pr 140.91 Pr.upf
Dy 162.50 Dy.upf
Tm 168.93 Tm.upf
Bi 208.98 Bi.upf
CELL_PARAMETERS angstrom
-3.612 2.084 -3.357
1.870 -3.105 -3.940
-7.875 -8.666 3.093
ATOMIC_POSITIONS crystal
Pr 0.000 0.000 0.000
Dy 0.500 0.500 0.262
Dy 0.500 0.500 0.738
Tm 0.000 0.000 0.500
Bi 0.000 0.500 0.500
Bi 0.500 0.000 0.500
Bi 0.000 0.000 0.749
Bi 0.000 0.000 0.251
Bi 0.500 0.500 0.000
```